Entry from Alexandria: crystalline PaCdCoO6 at its relaxed geometry (PBE+U).

As for the calculated total energy: -6.682 eV/atom.

a = 4.6961 Å, b = 5.2864 Å, c = 5.2864 Å
α = 120.00°, β = 90.00°, γ = 90.00°
Closest atoms and distances in Å follow each position.
Fractional positions:
O 0.7332 0.2817 0.9782  1 Co 1.90
O 0.7332 0.6966 0.7183  1 Co 1.90
O 0.7332 0.0218 0.3034  1 Co 1.90
O 0.2668 0.6966 0.9782  1 Co 1.90
O 0.2668 0.0218 0.7183  1 Co 1.90
O 0.2668 0.2817 0.3034  1 Co 1.90
Cd 0.5000 0.6667 0.3333  6 O 2.25
Pa 0.0000 0.3333 0.6667  6 O 2.19
Co 0.5000 0.0000 0.0000  6 O 1.90